1.
LaNiN2Cl (PBE, relaxed); uncorrected energy = -21.3 eV per formula unit; raw formation energy = 1.58 eV/atom
1.0
4.0856 0.0000 0.0000
0.0000 4.0856 0.0000
0.0000 0.0000 5.2077
La Ni N Cl
1 1 2 1
Cartesian
0.0000 0.0000 0.0000 La
2.0428 2.0428 0.0000 Ni
0.0000 2.0428 2.6039 N
2.0428 0.0000 2.6039 N
0.0000 0.0000 2.6039 Cl

2.
LiMgTe2O6 (PBE, relaxed); uncorrected energy = -53.4 eV per formula unit; raw formation energy = -1.38 eV/atom
1.0
4.5604 -5.3743 0.0000
4.5604 5.3743 0.0000
-1.1118 0.0000 5.1958
Li Mg Te O
2 2 4 12
Cartesian
3.7266 3.2054 3.8968 Li
4.2825 -3.2054 1.2989 Li
4.2825 4.5106 1.2989 Mg
3.7266 -4.5106 3.8968 Mg
2.6197 1.2667 1.7031 Te
2.0638 -1.2667 4.3010 Te
5.9452 1.2667 0.8948 Te
5.3893 -1.2667 3.4927 Te
1.0085 0.8279 0.6712 O
2.8304 3.1610 1.9793 O
0.4526 -0.8279 3.2691 O
3.7058 1.1601 0.0959 O
5.7345 3.1610 0.6186 O
4.8592 1.1601 2.5020 O
3.1499 -1.1601 2.6938 O
2.2745 -3.1610 4.5772 O
4.3033 -1.1601 5.0998 O
7.5564 0.8279 1.9267 O
5.1786 -3.1610 3.2164 O
7.0005 -0.8279 4.5245 O

3.
K2ZnAgCl (PBE, relaxed); uncorrected energy = -9.5 eV per formula unit; raw formation energy = -0.26 eV/atom
1.0
5.9755 0.0000 0.0000
0.0000 5.9755 0.0000
0.0000 0.0000 5.4946
K Zn Ag Cl
2 1 1 1
Cartesian
0.0000 2.9878 0.0000 K
2.9878 0.0000 0.0000 K
0.0000 0.0000 2.7473 Zn
2.9878 2.9878 2.7473 Ag
2.9878 2.9878 0.0000 Cl

4.
RbNpPdSe4 (PBE, relaxed); uncorrected energy = -38.5 eV per formula unit; raw formation energy = -0.77 eV/atom
1.0
7.2808 0.0000 0.0000
0.0000 5.7154 0.0000
-2.8616 0.0000 9.3007
Rb Np Pd Se
2 2 2 8
Cartesian
1.5799 1.4289 0.4864 Rb
2.8393 4.2866 8.8143 Rb
0.4046 1.4289 5.1236 Np
4.0146 4.2866 4.1771 Np
0.9238 4.2866 2.9379 Pd
3.4954 1.4289 6.3628 Pd
-1.8016 2.9415 6.4524 Se
-1.8016 5.6316 6.4524 Se
1.3996 4.2866 5.3768 Se
3.0393 4.2866 1.6433 Se
1.3799 1.4289 7.6574 Se
3.0196 1.4289 3.9239 Se
6.2208 0.0838 2.8483 Se
6.2208 2.7739 2.8483 Se